a.
This record from Alexandria describes a relaxed CuPt4Rh2 crystal. The functional is GGA-PBE.

Lattice parameters (Å, degrees): 5.3881 16.8593 2.7225 90.00 90.00 90.00
Space group Cmmm (No. 65)
Asymmetric unit:
Cu 0.0000 0.0000 0.0000 (multiplicity 2)
Pt 0.0000 0.1249 0.5000 (multiplicity 4)
Pt 0.2500 0.2500 0.0000 (multiplicity 4)
Rh 0.0000 0.3646 0.5000 (multiplicity 4)

For the density of states at the Fermi level, the calculation gives 11.5 states/eV/f.u. The theoretical density comes out at 14.1 g cm⁻³.

b.
This record from Alexandria describes a relaxed CuPt4Rh2 crystal. The functional is GGA-PBE.

Lattice parameters (Å, degrees): 4.5883 4.5883 12.4671 90.00 90.00 90.00
Space group I4/mmm (No. 139)
Asymmetric unit:
Cu 0.0000 0.0000 0.0000 (multiplicity 2)
Pt 0.0000 0.0000 0.1952 (multiplicity 4)
Pt 0.0000 0.5000 0.0000 (multiplicity 4)
Rh 0.0000 0.0000 0.3916 (multiplicity 4)

For the density of states at the Fermi level, the calculation gives 11.9 states/eV/f.u. The theoretical density comes out at 13.3 g cm⁻³.

Quick one: most stable of them? a

a.
This record from Alexandria describes a relaxed CuPt6Rh2 crystal. The functional is GGA-PBE.

Lattice parameters (Å, degrees): 14.7606 7.2537 2.7212 90.00 92.30 90.00
Space group C2/m (No. 12)
Asymmetric unit:
Cu 0.0000 0.0000 0.0000 (multiplicity 2)
Pt 0.0795 0.5000 0.2353 (multiplicity 4)
Pt 0.1346 0.1898 0.6940 (multiplicity 8)
Rh 0.2385 0.5000 0.7753 (multiplicity 4)

For the density of states at the Fermi level, the calculation gives 12.4 states/eV/f.u. The theoretical density comes out at 16.4 g cm⁻³.

b.
This record from Alexandria describes a relaxed CuPt6Rh2 crystal. The functional is GGA-PBE.

Lattice parameters (Å, degrees): 8.7544 3.9084 8.3279 90.00 108.33 90.00
Space group C2/m (No. 12)
Asymmetric unit:
Cu 0.0000 0.0000 0.0000 (multiplicity 2)
Pt 0.0008 0.0000 0.6764 (multiplicity 4)
Pt 0.1659 0.5000 0.5553 (multiplicity 4)
Pt 0.1692 0.5000 0.8936 (multiplicity 4)
Rh 0.1639 0.5000 0.2186 (multiplicity 4)

For the density of states at the Fermi level, the calculation gives 16.1 states/eV/f.u. The theoretical density comes out at 17.7 g cm⁻³.

Quick one: most stable of them? b

a.
This record from Alexandria describes a relaxed TiCuPtRh crystal. The functional is GGA-PBE.

Lattice parameters (Å, degrees): 6.1150 6.1150 6.1150 90.00 90.00 90.00
Space group F-43m (No. 216)
Asymmetric unit:
Ti 0.0000 0.0000 0.0000 (multiplicity 4)
Cu 0.0000 0.0000 0.5000 (multiplicity 4)
Pt 0.2500 0.2500 0.7500 (multiplicity 4)
Rh 0.2500 0.2500 0.2500 (multiplicity 4)

For the density of states at the Fermi level, the calculation gives 1.2 states/eV/f.u. The theoretical density comes out at 11.9 g cm⁻³.

b.
This record from Alexandria describes a relaxed TiCuPtRh crystal. The functional is GGA-PBE.

Lattice parameters (Å, degrees): 3.5811 3.8886 4.0765 90.00 90.00 90.00
Space group Pmmm (No. 47)
Asymmetric unit:
Ti 0.0000 0.0000 0.0000 (multiplicity 1)
Cu 0.0000 0.5000 0.5000 (multiplicity 1)
Pt 0.5000 0.0000 0.5000 (multiplicity 1)
Rh 0.5000 0.5000 0.0000 (multiplicity 1)

For the density of states at the Fermi level, the calculation gives 0.8 states/eV/f.u. The theoretical density comes out at 12.0 g cm⁻³.

Quick one: most stable of them? b

a.
This record from Alexandria describes a relaxed Cu2RuPt crystal. The functional is GGA-PBE.

Lattice parameters (Å, degrees): 3.7856 3.7856 7.5484 90.00 90.00 90.00
Space group I-4m2 (No. 119)
Asymmetric unit:
Cu 0.0000 0.0000 0.0000 (multiplicity 2)
Cu 0.0000 0.5000 0.2500 (multiplicity 2)
Ru 0.0000 0.0000 0.5000 (multiplicity 2)
Pt 0.0000 0.5000 0.7500 (multiplicity 2)

For the density of states at the Fermi level, the calculation gives 4.4 states/eV/f.u. The theoretical density comes out at 13.0 g cm⁻³.

b.
This record from Alexandria describes a relaxed Cu2RuPt crystal. The functional is GGA-PBE.

Lattice parameters (Å, degrees): 2.6994 2.6994 7.4873 90.00 90.00 90.00
Space group P4/mmm (No. 123)
Asymmetric unit:
Cu 0.0000 0.0000 0.2483 (multiplicity 2)
Ru 0.5000 0.5000 0.0000 (multiplicity 1)
Pt 0.5000 0.5000 0.5000 (multiplicity 1)

For the density of states at the Fermi level, the calculation gives 4.9 states/eV/f.u. The theoretical density comes out at 12.9 g cm⁻³.

Quick one: most stable of them? a

a.
This record from Alexandria describes a relaxed Cu2RuPt crystal. The functional is GGA-PBE.

Lattice parameters (Å, degrees): 2.6841 4.6356 8.9521 90.00 90.00 90.00
Space group Immm (No. 71)
Asymmetric unit:
Cu 0.0000 0.0000 0.2487 (multiplicity 4)
Ru 0.0000 0.5000 0.5000 (multiplicity 2)
Pt 0.0000 0.5000 0.0000 (multiplicity 2)

For the density of states at the Fermi level, the calculation gives 4.3 states/eV/f.u. The theoretical density comes out at 12.6 g cm⁻³.

b.
This record from Alexandria describes a relaxed Cu2RuPt crystal. The functional is GGA-PBE.

Lattice parameters (Å, degrees): 2.6809 3.8275 5.3137 90.00 90.33 90.00
Space group Pm (No. 6)
Asymmetric unit:
Cu 0.0000 0.0000 0.0000 (multiplicity 1)
Cu 0.4970 0.5000 0.2296 (multiplicity 1)
Ru 0.4990 0.5000 0.7402 (multiplicity 1)
Pt 0.9962 0.0000 0.4964 (multiplicity 1)

For the density of states at the Fermi level, the calculation gives 4.8 states/eV/f.u. The theoretical density comes out at 12.9 g cm⁻³.

Quick one: most stable of them? b

a.
This record from Alexandria describes a relaxed Cu2RuPt crystal. The functional is GGA-PBE.

Lattice parameters (Å, degrees): 2.7025 2.7025 25.8366 90.00 90.00 120.00
Space group R-3m (No. 166, hexagonal axes)
Asymmetric unit:
Cu 0.0000 0.0000 0.2490 (multiplicity 6)
Ru 0.0000 0.0000 0.5000 (multiplicity 3)
Pt 0.0000 0.0000 0.0000 (multiplicity 3)

For the density of states at the Fermi level, the calculation gives 3.1 states/eV/f.u. The theoretical density comes out at 12.9 g cm⁻³.

b.
This record from Alexandria describes a relaxed Cu2RuPt crystal. The functional is GGA-PBE.

Lattice parameters (Å, degrees): 2.6197 4.4343 4.7644 90.00 91.07 90.00
Space group P2/m (No. 10)
Asymmetric unit:
Cu 0.2153 0.0000 0.2410 (multiplicity 2)
Ru 0.5000 0.5000 0.0000 (multiplicity 1)
Pt 0.0000 0.5000 0.5000 (multiplicity 1)

For the density of states at the Fermi level, the calculation gives 4.5 states/eV/f.u. The theoretical density comes out at 12.7 g cm⁻³.

Quick one: most stable of them? a